1.
This record from the Alexandria database describes a geometry-optimized RbLiTi3 structure. The functional is PBE.

total moment	2.10	μB per cell
energy of formation from the pure elements	1.403	eV per atom
E above lowest polymorph	0	meV/atom
space group	Pm-3m

Unit cell a=4.8816 b=4.8816 c=4.8816 alpha=90.00 beta=90.00 gamma=90.00
Each line ends with the local moment (μB).
Positions (direct):
Ti (0.0000, 0.5000, 0.0000)  0.47
Ti (0.0000, 0.0000, 0.5000)  0.50
Ti (0.5000, 0.0000, 0.0000)  0.54
Li (0.0000, 0.0000, 0.0000)  0.00
Rb (0.5000, 0.5000, 0.5000)  0.02

=====

2.
This record from the Alexandria database describes a geometry-optimized YTe3Cl structure. The functional is PBE.

ΔE_f (raw)	0.04	eV/atom
total moment	0.00	μB per cell
E above lowest polymorph	175	meV/atom
space group	Pm-3m

Unit cell a=5.3593 b=5.3593 c=5.3593 alpha=90.00 beta=90.00 gamma=90.00
Positions (direct):
Te (0.0000, 0.0000, 0.5000)
Te (0.5000, 0.0000, 0.0000)
Te (0.0000, 0.5000, 0.0000)
Y (0.5000, 0.5000, 0.5000)
Cl (0.0000, 0.0000, 0.0000)

=====

3.
This record from the Alexandria database describes a geometry-optimized AgAs2F structure. The functional is PBE.

ΔE_f (raw)	-0.30	eV/atom
total moment	0.00	μB per cell
E above lowest polymorph	0	meV/atom
space group	I-42d

Unit cell a=3.8103 b=3.8103 c=10.4678 alpha=79.51 beta=79.51 gamma=90.00
Positions (direct):
F (0.2500, 0.7500, 0.5000)
F (0.5000, 0.5000, 0.0000)
As (0.6682, 0.1250, 0.2500)
As (0.3750, 0.3318, 0.7500)
As (0.8750, 0.9182, 0.7500)
As (0.0818, 0.6250, 0.2500)
Ag (0.7500, 0.2500, 0.5000)
Ag (0.0000, 0.0000, 0.0000)

=====

4.
This record from the Alexandria database describes a geometry-optimized MnRh3 structure. The functional is PBE.

total moment	2.77	μB per cell
energy of formation from the pure elements	-0.063	eV per atom
space group	P2/m

Unit cell a=7.7672 b=3.7447 c=9.9228 alpha=90.00 beta=168.84 gamma=90.00
Each line ends with the local moment (μB).
Positions (direct):
Rh (0.5000, 0.0000, 0.0000)  -0.24
Rh (0.2343, 0.5000, 0.9873)  -0.14
Rh (0.7657, 0.5000, 0.0127)  -0.14
Mn (0.0000, 0.0000, 0.0000)  3.20

=====

What is the total moment in the first record? 2.10 μB per cell